(1)
Compound: Pm6PtPb3
Source: Alexandria
Functional: PBE-GGA
Structure: relaxed

Values from the calculation:
Energy relative to the elements ... -484 meV/atom
Magnetic moment ... 0.00 μB per formula unit
N(E_F) ... 20.19 states/eV/cell

```
data_Pm6PtPb3
_chemical_formula_sum 'Pm12 Pt2 Pb6'
_cell_length_a 11.668
_cell_length_b 4.059
_cell_length_c 14.201
_cell_angle_alpha 90.00
_cell_angle_beta 110.14
_cell_angle_gamma 90.00
_space_group_name_H-M_alt 'P 1 21/m 1'
_space_group_IT_number 11
_space_group_name_Hall '-P 2yb'
loop_
_atom_site_label
_atom_site_type_symbol
_atom_site_fract_x
_atom_site_fract_y
_atom_site_fract_z
Pm1 Pm 0.001 0.250 0.339
Pm2 Pm 0.094 0.250 0.909
Pm3 Pm 0.262 0.750 0.341
Pm4 Pm 0.345 0.750 0.770
Pm5 Pm 0.359 0.750 0.132
Pm6 Pm 0.411 0.250 0.571
Pt1 Pt 0.430 0.250 0.302
Pb1 Pb 0.133 0.250 0.149
Pb2 Pb 0.168 0.750 0.528
Pb3 Pb 0.390 0.250 0.958
```


(2)
Compound: TiCoNiSb
Source: Alexandria
Functional: PBE-GGA
Structure: relaxed

Values from the calculation:
Magnetic moment ... 0.01 μB per formula unit
N(E_F) ... 10.09 states/eV/cell
E_form (uncorrected) ... -0.330 eV per atom

```
data_TiCoNiSb
_chemical_formula_sum 'Ti4 Co4 Ni4 Sb4'
_cell_length_a 6.090
_cell_length_b 6.090
_cell_length_c 6.090
_cell_angle_alpha 90.00
_cell_angle_beta 90.00
_cell_angle_gamma 90.00
_space_group_name_H-M_alt 'F -4 3 m'
_space_group_IT_number 216
_space_group_name_Hall 'F -4 2 3'
loop_
_atom_site_label
_atom_site_type_symbol
_atom_site_fract_x
_atom_site_fract_y
_atom_site_fract_z
Ti1 Ti 0.000 0.000 0.000
Co1 Co 0.250 0.250 0.750
Ni1 Ni 0.250 0.250 0.250
Sb1 Sb 0.000 0.000 0.500
```